# 1
# RbAlRu2O8

Crystalline RbAlRu2O8 at its relaxed geometry (PBE, Alexandria via LeMat-Bulk).

a = 5.210 Å, b = 5.210 Å, c = 8.310 Å
α = 94.22°, β = 94.22°, γ = 65.34°
Element x y z (fractional)
1 Rb 0.000 0.000 0.000
2 Al 0.000 0.000 0.500
3 Ru 0.374 0.374 0.693
4 Ru 0.626 0.626 0.307
5 O 0.216 0.216 0.539
6 O 0.222 0.752 0.666
7 O 0.248 0.778 0.334
8 O 0.317 0.317 0.890
9 O 0.683 0.683 0.110
10 O 0.752 0.222 0.666
11 O 0.778 0.248 0.334
12 O 0.784 0.784 0.461

Results
Fermi-level density of states (states/eV/atom): 0.1257
Calculated total energy (hartree per atom): -0.2407
Total moment (μB/f.u.): 4.1
Energy relative to the elements, uncorrected (kJ/mol of atoms): -126.0
Symmetry: C2/m, No. 12

# 2
# TaBe17Al

Crystalline TaBe17Al at its relaxed geometry (PBE, Alexandria via LeMat-Bulk).

a = 5.570 Å, b = 5.570 Å, c = 5.570 Å
α = 82.54°, β = 82.54°, γ = 82.54°
Element x y z (fractional)
1 Ta 0.000 0.000 0.000
2 Be 0.036 0.341 0.635
3 Be 0.036 0.635 0.341
4 Be 0.175 0.683 0.683
5 Be 0.236 0.236 0.236
6 Be 0.327 0.327 0.841
7 Be 0.327 0.841 0.327
8 Be 0.341 0.036 0.635
9 Be 0.341 0.635 0.036
10 Be 0.437 0.437 0.437
11 Be 0.495 0.996 0.996
12 Be 0.635 0.036 0.341
13 Be 0.635 0.341 0.036
14 Be 0.683 0.175 0.683
15 Be 0.683 0.683 0.175
16 Be 0.841 0.327 0.327
17 Be 0.996 0.495 0.996
18 Be 0.996 0.996 0.495
19 Al 0.709 0.709 0.709

Results
Fermi-level density of states (states/eV/atom): 0.2532
Calculated total energy (hartree per atom): -0.1556
Total moment (μB/f.u.): 0.0
Symmetry: R3m, No. 160
Energy of formation from the pure elements (meV per atom): -80

# 3
# GdSn2F4

Crystalline GdSn2F4 at its relaxed geometry (PBE, Alexandria via LeMat-Bulk).

a = 9.298 Å, b = 9.298 Å, c = 9.298 Å
α = 152.36°, β = 152.36°, γ = 39.48°
Element x y z (fractional)
1 Gd 0.000 0.000 0.000
2 Sn 0.254 0.254 0.000
3 Sn 0.746 0.746 0.000
4 F 0.000 0.500 0.500
5 F 0.128 0.128 0.000
6 F 0.500 0.000 0.500
7 F 0.872 0.872 0.000

Results
Fermi-level density of states (states/eV/atom): 0.3029
Calculated total energy (hartree per atom): -0.2531
Total moment (μB/f.u.): 7.0
Energy relative to the elements, uncorrected (kJ/mol of atoms): -256.9
Symmetry: I4/mmm, No. 139

total moment of number 2 (TaBe17Al)?
0.0 μB/f.u.